# 1
# PbBr

Crystalline PbBr at its relaxed geometry (PBE, Alexandria).

```
4
Lattice="-1.878 2.525 6.997 1.878 -2.525 6.997 1.878 2.525 -6.997" Properties=species:S:1:pos:R:3 pbc="T T T"
Pb 0.000 1.262 2.029
Pb 1.878 1.262 4.968
Br 1.878 1.262 -1.656
Br 0.000 1.262 8.653
```

Computed properties:
For the density of states at the Fermi level, the calculation gives 2.2 states/eV/cell. Its uncorrected formation energy is -0.428 eV/atom. The calculation puts the calculated volume at 33.2 A^3/atom.

# 2
# Rb2UBiS6

Crystalline Rb2UBiS6 at its relaxed geometry (PBE, Alexandria).

```
10
Lattice="0.000 5.305 5.305 5.305 0.000 5.305 5.305 5.305 0.000" Properties=species:S:1:pos:R:3 pbc="T T T"
Rb 2.653 2.653 2.653
Rb 7.958 7.958 7.958
U 0.000 0.000 0.000
Bi 5.305 5.305 5.305
S 5.305 5.305 2.533
S 5.305 2.533 5.305
S 8.077 5.305 5.305
S 2.533 5.305 5.305
S 5.305 8.077 5.305
S 5.305 5.305 8.077
```

Computed properties:
For the density of states at the Fermi level, the calculation gives 7.3 states/eV/cell. Its uncorrected formation energy is -0.893 eV/atom. The calculation puts the calculated volume at 29.9 A^3/atom.

# 3
# Hf3TiCd

Crystalline Hf3TiCd at its relaxed geometry (PBE, Alexandria).

```
5
Lattice="5.152 0.000 0.000 0.000 5.152 0.000 0.000 0.000 5.152" Properties=species:S:1:pos:R:3 pbc="T T T"
Hf 0.000 0.000 2.576
Hf 0.000 2.576 0.000
Hf 2.576 0.000 0.000
Ti 2.576 2.576 2.576
Cd 0.000 0.000 0.000
```

Computed properties:
Its energy above the most stable polymorph in this dataset is 1370 meV/atom. For the density of states at the Fermi level, the calculation gives 6.0 states/eV/cell. The calculation puts the calculated volume at 27.3 A^3/atom. For the energy of formation, the calculation gives 1397 meV per atom.

Question: What is the density of states at the Fermi level in the first record?
Answer: 2.2 states/eV/cell

Question: The highest density of states at the Fermi level belongs to which entry?
Answer: Rb2UBiS6

Question: The lowest density of states at the Fermi level belongs to which entry?
Answer: PbBr

Question: Which formula does entry 1 have?
Answer: PbBr